Record 1
Entry from the Alexandria database: a relaxed PmPr2Dy2Y crystal (PBE).

Properties
Total energy (eV per atom): -4.94
Space group: Pmma, No. 51
DFT formation energy (eV per formula unit): 0.3

Lattice parameters (Å, degrees): 5.7199 7.1123 9.9018 90.00 90.00 90.00
Closest atoms and distances in Å follow each position.
Element x y z (fractional)
Y1 0.0000 0.0076 0.5001  2 Y 3.56, 2 Pr 3.67, 4 Pm 3.72, 6 Dy 3.76-3.77
Y2 0.0000 0.5076 0.4999  2 Y 3.56, 2 Pr 3.67, 4 Pm 3.72, 6 Dy 3.76-3.77
Pr1 0.0000 0.7576 0.8246  5 Dy 3.25-3.56
Pr2 0.5000 0.5076 0.0002  6 Pr 3.56-3.79, 6 Dy 3.74, 2 Pm 3.81
Pr3 0.5000 0.0076 0.9998  6 Pr 3.56-3.79, 6 Dy 3.74, 2 Pm 3.81
Pr4 0.0000 0.2576 0.1754  5 Dy 3.25-3.56
Dy1 0.0000 0.2577 0.8354  2 Pm 3.35, 7 Pr 3.37-3.74
Dy2 0.0000 0.7577 0.1646  2 Pm 3.35, 7 Pr 3.37-3.74
Dy3 0.5000 0.7575 0.6679  3 Pm 3.24-3.56, 2 Pr 3.25
Dy4 0.5000 0.2575 0.3321  3 Pm 3.24-3.56, 2 Pr 3.25
Pm1 0.5000 0.7576 0.3403  5 Dy 3.24-3.56
Pm2 0.5000 0.2576 0.6597  5 Dy 3.24-3.56


Record 2
Entry from the Alexandria database: a relaxed Zn2IrRh3 crystal (PBE).

Properties
Total energy (eV per atom): -5.78
Space group: P4/mmm, No. 123
DFT formation energy (eV per formula unit): -1.2

Lattice parameters (Å, degrees): 2.7977 2.7977 10.7642 90.00 90.00 90.00
Closest atoms and distances in Å follow each position.
Element x y z (fractional)
Zn1 0.5000 0.5000 0.1609  8 Rh 2.63-2.68, 4 Zn 2.80
Zn2 0.5000 0.5000 0.8391  8 Rh 2.63-2.68, 4 Zn 2.80
Rh1 0.0000 0.0000 0.6709  4 Zn 2.68, 4 Ir 2.70, 4 Rh 2.80
Rh2 0.0000 0.0000 0.3291  4 Zn 2.68, 4 Ir 2.70, 4 Rh 2.80
Rh3 0.0000 0.0000 0.0000  8 Zn 2.63, 4 Rh 2.80
Ir1 0.5000 0.5000 0.5000  8 Rh 2.70, 4 Ir 2.80


Record 3
Entry from the Alexandria database: a relaxed BaScW2 crystal (PBE).

Properties
Total energy (eV per atom): -7.73
E above lowest polymorph (meV/atom): 296.7
Space group: Imm2, No. 44
DFT formation energy (eV per formula unit): 3.2

Lattice parameters (Å, degrees): 7.3450 7.3450 7.3450 152.63 141.43 47.94
Closest atoms and distances in Å follow each position.
Element x y z (fractional)
Sc1 0.7170 0.2170 0.5000  6 W 2.90-2.99
Ba1 0.4593 0.4593 0.0000  2 Ba 3.47, 6 W 3.52-3.59, 2 Sc 3.87
W1 0.2256 0.7256 0.5000  2 W 2.44
W2 0.0980 0.0980 0.0000  2 W 2.44